A plane-wave DFT calculation with PBE+U was carried out for a relaxed MnCoI2O crystal.

Values from the calculation:
- VASP energy (eV/atom) = -4.1416
- SG = No. 123
- calculated density (g/cm3) = 5.18

a b c (Å): 5.734 5.734 3.743
angles (deg): 90.00 90.00 90.00
Element x y z (fractional)
I 0.500 0.000 0.000
Co 0.500 0.500 0.500
O 0.000 0.000 0.500
I 0.000 0.500 0.000
Mn 0.000 0.000 0.000